Entry 1:
Below is a relaxed structure of AlCrAgP2, with properties calculated at the PBE-GGA level.

abc: 4.561 4.561 4.755
angles: 90.00 90.00 90.00
Fractional coordinates of all 5 atoms:
Al 0.000 0.000 0.000
Cr 0.500 0.500 0.500
Ag 0.000 0.000 0.500
P 0.000 0.500 0.000
P 0.500 0.000 0.000

Summary:
Theoretical density: 4.18 g/cm³
Formation enthalpy at 0 K: 6.20 eV/f.u.
Density of states at the Fermi level: 1.085 states/eV/atom

***

Entry 2:
Below is a relaxed structure of BaSrCa2Br8, with properties calculated at the PBE-GGA level.

abc: 7.040 9.213 7.173
angles: 90.00 90.29 90.00
Fractional coordinates of all 12 atoms:
Ba 0.000 0.000 0.000
Sr 0.000 0.500 0.000
Ca 0.500 0.254 0.500
Ca 0.500 0.746 0.500
Br 0.233 0.263 0.187
Br 0.233 0.737 0.187
Br 0.291 0.500 0.671
Br 0.298 0.000 0.658
Br 0.702 0.000 0.342
Br 0.709 0.500 0.329
Br 0.767 0.263 0.813
Br 0.767 0.737 0.813

Summary:
Theoretical density: 3.37 g/cm³
Density of states at the Fermi level: 0.000 states/eV/atom
Uncorrected formation energy: -2.067 eV/atom

***

Entry 3:
Below is a relaxed structure of ZnIn2Co, with properties calculated at the PBE-GGA level.

abc: 5.141 5.141 5.141
angles: 134.07 134.07 66.98
Fractional coordinates of all 4 atoms:
Zn 0.000 0.000 0.000
In 0.500 0.500 0.000
In 0.750 0.250 0.500
Co 0.250 0.750 0.500

Summary:
Theoretical density: 8.52 g/cm³
Formation enthalpy at 0 K: 0.91 eV/f.u.
Density of states at the Fermi level: 0.482 states/eV/atom

***

Entry 4:
Below is a relaxed structure of Ag2ClF, with properties calculated at the PBE-GGA level.

abc: 7.989 7.989 7.989
angles: 27.01 27.01 27.01
Fractional coordinates of all 4 atoms:
Ag 0.092 0.092 0.092
Ag 0.908 0.908 0.908
Cl 0.500 0.500 0.500
F 0.000 0.000 0.000

Summary:
Theoretical density: 4.84 g/cm³
Polymorph energy (0 for the lowest one): 0.125 eV per atom
Uncorrected formation energy: -0.571 eV/atom

***

Entry 5:
Below is a relaxed structure of PmMgAl2, with properties calculated at the PBE-GGA level.

abc: 5.833 5.833 5.833
angles: 46.20 46.20 46.20
Fractional coordinates of all 4 atoms:
Pm 0.000 0.000 0.000
Mg 0.500 0.500 0.500
Al 0.215 0.215 0.215
Al 0.785 0.785 0.785

Summary:
Theoretical density: 3.93 g/cm³
Formation enthalpy at 0 K: -0.81 eV/f.u.
Polymorph energy (0 for the lowest one): 0.109 eV per atom
Density of states at the Fermi level: 0.623 states/eV/atom

***

Entry 6:
Below is a relaxed structure of Ca4AlBr, with properties calculated at the PBE-GGA level.

abc: 6.756 6.756 6.756
angles: 60.00 60.00 60.00
Fractional coordinates of all 6 atoms:
Ca 0.124 0.124 0.124
Ca 0.124 0.124 0.628
Ca 0.124 0.628 0.124
Ca 0.628 0.124 0.124
Al 0.750 0.750 0.750
Br 0.500 0.500 0.500

Summary:
Theoretical density: 2.03 g/cm³
Density of states at the Fermi level: 0.720 states/eV/atom
Uncorrected formation energy: 0.158 eV/atom

***

Entry 7:
Below is a relaxed structure of KNiMo2, with properties calculated at the PBE-GGA level.

abc: 3.738 3.738 5.173
angles: 90.00 90.00 90.00
Fractional coordinates of all 4 atoms:
K 0.000 0.000 0.000
Ni 0.500 0.500 0.000
Mo 0.000 0.500 0.500
Mo 0.500 0.000 0.500

Summary:
Theoretical density: 6.65 g/cm³
Formation enthalpy at 0 K: 5.76 eV/f.u.
Polymorph energy (0 for the lowest one): 0.774 eV per atom
Density of states at the Fermi level: 1.336 states/eV/atom

***

Entry 8:
Below is a relaxed structure of La3PrTlIr, with properties calculated at the PBE-GGA level.

abc: 9.077 9.077 6.212
angles: 107.39 107.39 50.86
Fractional coordinates of all 12 atoms:
La 0.125 0.632 0.902
La 0.178 0.178 0.643
La 0.368 0.875 0.098
La 0.632 0.125 0.902
La 0.822 0.822 0.357
La 0.875 0.368 0.098
Pr 0.305 0.695 0.500
Pr 0.695 0.305 0.500
Tl 0.305 0.305 0.297
Tl 0.695 0.695 0.703
Ir 0.000 0.000 0.237
Ir 0.000 0.000 0.763

Summary:
Theoretical density: 8.46 g/cm³
Formation enthalpy at 0 K: -2.41 eV/f.u.
Density of states at the Fermi level: 1.090 states/eV/atom

***

Entry 9:
Below is a relaxed structure of Cu3NiRu, with properties calculated at the PBE-GGA level.

abc: 4.565 4.565 4.565
angles: 90.00 90.00 90.00
Fractional coordinates of all 5 atoms:
Cu 0.000 0.000 0.500
Cu 0.000 0.500 0.000
Cu 0.500 0.000 0.000
Ni 0.500 0.500 0.500
Ru 0.000 0.000 0.000

Summary:
Theoretical density: 6.12 g/cm³
Formation enthalpy at 0 K: 7.94 eV/f.u.
Polymorph energy (0 for the lowest one): 0.366 eV per atom
Density of states at the Fermi level: 1.461 states/eV/atom

***

Entry 10:
Below is a relaxed structure of GaBr2F, with properties calculated at the PBE-GGA level.

abc: 7.510 7.510 7.510
angles: 152.03 149.30 42.01
Fractional coordinates of all 4 atoms:
Ga 0.000 0.000 0.000
Br 0.126 0.626 0.500
Br 0.874 0.374 0.500
F 0.500 0.000 0.500

Summary:
Theoretical density: 4.08 g/cm³
Polymorph energy (0 for the lowest one): 0.071 eV per atom
Density of states at the Fermi level: 0.000 states/eV/atom
Uncorrected formation energy: -1.322 eV/atom

***

Entry 11:
Below is a relaxed structure of PrPuCuHg, with properties calculated at the PBE-GGA level.

abc: 5.252 5.252 5.252
angles: 60.00 60.00 60.00
Fractional coordinates of all 4 atoms:
Pr 0.000 0.000 0.000
Pu 0.500 0.500 0.500
Cu 0.250 0.250 0.250
Hg 0.750 0.750 0.750

Summary:
Theoretical density: 10.52 g/cm³
Formation enthalpy at 0 K: -0.25 eV/f.u.
Density of states at the Fermi level: 3.045 states/eV/atom

***

Entry 12:
Below is a relaxed structure of HoThZnGa, with properties calculated at the PBE-GGA level.

abc: 5.122 5.122 5.122
angles: 60.00 60.00 60.00
Fractional coordinates of all 4 atoms:
Ho 0.000 0.000 0.000
Th 0.500 0.500 0.500
Zn 0.250 0.250 0.250
Ga 0.750 0.750 0.750

Summary:
Theoretical density: 9.30 g/cm³
Formation enthalpy at 0 K: -1.57 eV/f.u.
Density of states at the Fermi level: 0.358 states/eV/atom

***

Entry 13:
Below is a relaxed structure of MgCo2Pt, with properties calculated at the PBE-GGA level.

abc: 2.695 2.695 7.607
angles: 90.00 90.00 90.00
Fractional coordinates of all 4 atoms:
Mg 0.000 0.000 0.000
Co 0.500 0.500 0.259
Co 0.500 0.500 0.741
Pt 0.000 0.000 0.500

Summary:
Theoretical density: 10.13 g/cm³
Formation enthalpy at 0 K: 0.25 eV/f.u.
Density of states at the Fermi level: 1.505 states/eV/atom

***

Entry 14:
Below is a relaxed structure of Mn8As, with properties calculated at the PBE-GGA level.

abc: 5.609 5.609 5.609
angles: 95.74 95.74 143.12
Fractional coordinates of all 9 atoms:
Mn 0.000 0.343 0.343
Mn 0.000 0.657 0.657
Mn 0.324 0.324 0.648
Mn 0.324 0.676 0.000
Mn 0.343 0.000 0.343
Mn 0.657 0.000 0.657
Mn 0.676 0.324 0.000
Mn 0.676 0.676 0.352
As 0.000 0.000 0.000

Summary:
Theoretical density: 8.50 g/cm³
Formation enthalpy at 0 K: 0.25 eV/f.u.
Density of states at the Fermi level: 1.186 states/eV/atom

***

Entry 15:
Below is a relaxed structure of MnZnGa2Os, with properties calculated at the PBE-GGA level.

abc: 4.430 4.430 4.420
angles: 90.00 90.00 90.00
Fractional coordinates of all 5 atoms:
Mn 0.000 0.000 0.000
Zn 0.000 0.000 0.500
Ga 0.000 0.500 0.000
Ga 0.500 0.000 0.000
Os 0.500 0.500 0.500

Summary:
Theoretical density: 8.62 g/cm³
Formation enthalpy at 0 K: 5.95 eV/f.u.
Density of states at the Fermi level: 1.076 states/eV/atom

***

| no. | calculated volume (Å³/f.u.) |
| --- | --- |
| 1 | 98.9 |
| 2 | 465.2 |
| 3 | 69.0 |
| 4 | 92.7 |
| 5 | 94.4 |
| 6 | 218.0 |
| 7 | 72.3 |
| 8 | 187.3 |
| 9 | 95.1 |
| 10 | 101.2 |
| 11 | 102.4 |
| 12 | 95.0 |
| 13 | 55.3 |
| 14 | 100.5 |
| 15 | 86.7 |